No. 1
A plane-wave DFT calculation with PBE-GGA was carried out for an optimized crystal structure of LiMn2Ru.

```
LiMn2Ru
1.0
4.769 -0.047 -0.160
-2.126 4.376 0.074
0.517 0.700 2.360
Mn Li Ru
2 1 1
Cartesian
0.000 0.000 0.000
2.643 0.326 1.100
1.322 2.164 -0.043
-0.804 2.538 1.217
```

Computed properties:
SG = C2/m (12)

---

No. 2
A plane-wave DFT calculation with PBE-GGA was carried out for an optimized crystal structure of LiMn2Ru.

```
LiMn2Ru
1.0
-1.027 -2.519 1.440
0.531 -1.665 -2.534
5.064 -1.060 1.758
Mn Li Ru
2 1 1
Cartesian
1.036 -2.361 -0.101
0.006 -0.001 0.002
3.534 -2.883 0.765
2.524 -0.528 0.876
```

Computed properties:
SG = P4mm (99)

---

No. 3
A plane-wave DFT calculation with PBE-GGA was carried out for an optimized crystal structure of LiMnRu4.

```
LiMnRu4
1.0
0.000 3.596 3.596
3.596 0.000 3.596
3.596 3.596 0.000
Ru Mn Li
4 1 1
Cartesian
4.495 4.495 2.697
4.495 2.697 4.495
2.697 4.495 4.495
2.697 2.697 2.697
0.000 0.000 0.000
5.394 5.394 5.394
```

Computed properties:
SG = F-43m (216)

---

The records above give, respectively, energy relative to the elements values of 1.24; 0.73; 2.71 eV/f.u..